Below is a relaxed structure of Pu2CuSn, with properties calculated at the GGA-PBE level.

Summary:
**Volume**: 22.228 Å³/atom
**Magnetization**: 11.255 μB/f.u.
**Formation energy**: -0.150 eV per atom
**SG**: No. 123

The structure in CIF format:
```
data_Pu2CuSn
_cell_length_a 4.345
_cell_length_b 4.345
_cell_length_c 4.709
_cell_angle_alpha 90.00
_cell_angle_beta 90.00
_cell_angle_gamma 90.00
_symmetry_space_group_name_H-M 'P 1'
_symmetry_Int_Tables_number 1
_symmetry_space_group_name_Hall 'P 1'
loop_
_atom_site_label
_atom_site_fract_x
_atom_site_fract_y
_atom_site_fract_z
_atom_site_occupancy
Pu1 0.000 0.500 0.000 1
Pu2 0.500 0.000 0.000 1
Cu1 0.000 0.000 0.500 1
Sn1 0.500 0.500 0.500 1
```